1.
A relaxed MgInBi crystal. Source: Alexandria via LeMat-Bulk, functional GGA-PBE.

Unit cell a=4.144 b=4.144 c=9.640 alpha=90.00 beta=90.00 gamma=90.00
Space group I4mm (No. 107)
Asymmetric unit:
Mg (0.000, 0.000, 0.000) x2
In (0.000, 0.000, 0.328) x2
Bi (0.000, 0.000, 0.664) x2

Energy of formation from the pure elements = -0.050 eV per formula unit



2.
A relaxed Cs2HgBrF6 crystal. Source: Alexandria via LeMat-Bulk, functional GGA-PBE.

Unit cell a=9.758 b=9.081 c=7.069 alpha=90.00 beta=133.57 gamma=90.00
Space group C2/m (No. 12)
Asymmetric unit:
Cs (0.000, 0.250, 0.000) x4
Hg (0.000, 0.000, 0.500) x2
Br (0.000, 0.500, 0.500) x2
F (0.000, 0.284, 0.500) x4
F (0.208, 0.000, 0.916) x4
F (0.225, 0.000, 0.500) x4

Energy relative to the elements, uncorrected = -1.764 eV/atom



3.
A relaxed NaPrGeAu crystal. Source: Alexandria via LeMat-Bulk, functional GGA-PBE.

Unit cell a=7.240 b=7.240 c=7.240 alpha=90.00 beta=90.00 gamma=90.00
Space group F-43m (No. 216)
Asymmetric unit:
Na (0.000, 0.000, 0.000) x4
Pr (0.000, 0.000, 0.500) x4
Ge (0.250, 0.250, 0.250) x4
Au (0.250, 0.250, 0.750) x4

Energy of formation from the pure elements = -1.950 eV per formula unit